Entry 1:
# PtAuBr

A relaxed PtAuBr crystal (PBE, Alexandria via LeMat-Bulk).

abc: 6.3544 6.3544 6.3544
angles: 151.07 151.07 41.37
Element x y z (fractional)
Au: 0.0206 0.0206 0.0000
Br: 0.3171 0.3171 0.0000
Pt: 0.6623 0.6623 0.0000

Output
Crystal system = tetragonal
Symmetry = No. 107
Formation energy without anion corrections = 0.523 eV per atom


Entry 2:
# PtAuBr

A relaxed PtAuBr crystal (PBE, Alexandria via LeMat-Bulk).

abc: 3.5673 3.5673 5.6308
angles: 90.00 90.00 120.00
Element x y z (fractional)
Au: 0.0000 0.0000 0.9753
Br: 0.6667 0.3333 0.3566
Pt: 0.3333 0.6667 0.6681

Output
Crystal system = trigonal
Symmetry = No. 156
Formation energy without anion corrections = 0.353 eV per atom


Entry 3:
# PtAu2Br

A relaxed PtAu2Br crystal (PBE, Alexandria via LeMat-Bulk).

abc: 11.9579 11.9579 11.9579
angles: 13.73 13.73 13.73
Last column: magnetic moment on the atom in μB.
Element x y z (fractional)
Au: 0.0153 0.0153 0.0153  0.00
Au: 0.4847 0.4847 0.4847  0.00
Br: 0.2500 0.2500 0.2500  0.00
Pt: 0.7500 0.7500 0.7500  0.11

Output
Crystal system = trigonal
Symmetry = No. 166
Formation energy without anion corrections = 0.284 eV per atom


Entry 4:
# PtAuBr

A relaxed PtAuBr crystal (PBE, Alexandria via LeMat-Bulk).

abc: 5.6414 5.6414 5.6414
angles: 140.79 141.04 56.47
Element x y z (fractional)
Au: 0.0628 0.0628 0.0000
Br: 0.3450 0.3450 0.0000
Pt: 0.5922 0.5922 0.0000

Output
Crystal system = orthorhombic
Symmetry = No. 44
Formation energy without anion corrections = 0.436 eV per atom